# Cs2TmGeTe4 | Alexandria | PBE | optimized geometry
data_Cs2TmGeTe4
_chemical_formula_sum 'Cs16 Tm8 Ge8 Te32'
_symmetry_space_group_name_H-M 'F d d d'
_symmetry_Int_Tables_number 70
_cell_length_a 6.985
_cell_length_b 15.801
_cell_length_c 27.870
_cell_angle_alpha 90.00
_cell_angle_beta 90.00
_cell_angle_gamma 90.00
loop_
_symmetry_equiv_pos_as_xyz
'x,y,z'
'-x,-y,-z'
'-x+1/4,-y+1/4,z'
'x+1/4,y+1/4,-z'
'x,-y+1/4,-z+1/4'
'-x,y+1/4,z+1/4'
'-x+1/4,y,-z+1/4'
'x+1/4,-y,z+1/4'
'x,y+1/2,z+1/2'
'-x,-y+1/2,-z+1/2'
'-x+1/4,-y+3/4,z+1/2'
'x+1/4,y+3/4,-z+1/2'
'x,-y+3/4,-z+3/4'
'-x,y+3/4,z+3/4'
'-x+1/4,y+1/2,-z+3/4'
'x+1/4,-y+1/2,z+3/4'
'x+1/2,y,z+1/2'
'-x+1/2,-y,-z+1/2'
'-x+3/4,-y+1/4,z+1/2'
'x+3/4,y+1/4,-z+1/2'
'x+1/2,-y+1/4,-z+3/4'
'-x+1/2,y+1/4,z+3/4'
'-x+3/4,y,-z+3/4'
'x+3/4,-y,z+3/4'
'x+1/2,y+1/2,z'
'-x+1/2,-y+1/2,-z'
'-x+3/4,-y+3/4,z'
'x+3/4,y+3/4,-z'
'x+1/2,-y+3/4,-z+1/4'
'-x+1/2,y+3/4,z+1/4'
'-x+3/4,y+1/2,-z+1/4'
'x+3/4,-y+1/2,z+1/4'
loop_
_atom_site_label
_atom_site_type_symbol
_atom_site_fract_x
_atom_site_fract_y
_atom_site_fract_z
_atom_site_occupancy
Cs1 Cs 0.125 0.125 0.306 1
Tm1 Tm 0.125 0.125 0.125 1
Ge1 Ge 0.125 0.125 0.625 1
Te1 Te 0.111 0.272 0.820 1
# **Total magnetization**: 0.00 μB/f.u.
# **VASP energy**: -239.54 eV/cell
# **Formation energy (no corrections)**: -822 meV per atom
# **Calculated density**: 4.4 g/cm³

# BeGa2C2 | Alexandria | PBE | optimized geometry
data_BeGa2C2
_chemical_formula_sum 'Be2 Ga4 C4'
_symmetry_space_group_name_H-M 'P 4/m b m'
_symmetry_Int_Tables_number 127
_symmetry_space_group_name_Hall '-P 4 2ab'
_cell_length_a 6.158
_cell_length_b 6.158
_cell_length_c 2.930
_cell_angle_alpha 90.00
_cell_angle_beta 90.00
_cell_angle_gamma 90.00
loop_
_atom_site_label
_atom_site_type_symbol
_atom_site_fract_x
_atom_site_fract_y
_atom_site_fract_z
_atom_site_occupancy
Be1 Be 0.000 0.000 0.000 1
Ga1 Ga 0.144 0.356 0.000 1
C1 C 0.178 0.678 0.500 1
# **Total magnetization**: 0.00 μB/f.u.
# **Energy above the most stable polymorph in this dataset**: 0.044 eV/atom
# **Formation energy**: 1.643 eV per atom
# **VASP energy**: -40.02 eV/cell
# **Calculated density**: 5.2 g/cm³

# PaIn4Pd5 | Alexandria | PBE | optimized geometry
data_PaIn4Pd5
_chemical_formula_sum 'Pa1 In4 Pd5'
_symmetry_space_group_name_H-M 'P 4/m m m'
_symmetry_Int_Tables_number 123
_symmetry_space_group_name_Hall '-P 4 2'
_cell_length_a 3.278
_cell_length_b 3.278
_cell_length_c 17.318
_cell_angle_alpha 90.00
_cell_angle_beta 90.00
_cell_angle_gamma 90.00
loop_
_atom_site_label
_atom_site_type_symbol
_atom_site_fract_x
_atom_site_fract_y
_atom_site_fract_z
_atom_site_occupancy
Pa1 Pa 0.000 0.000 0.000 1
In1 In 0.000 0.000 0.211 1
In2 In 0.000 0.000 0.404 1
Pd1 Pd 0.500 0.500 0.113 1
Pd2 Pd 0.500 0.500 0.308 1
Pd3 Pd 0.500 0.500 0.500 1
# **Total magnetization**: 0.00 μB/f.u.
# **Formation energy**: -0.493 eV per atom
# **VASP energy**: -51.34 eV/cell
# **Calculated density**: 10.9 g/cm³

# MnReSiW | Alexandria | PBE | optimized geometry
data_MnReSiW
_chemical_formula_sum 'Mn4 Re4 Si4 W4'
_symmetry_space_group_name_H-M 'F -4 3 m'
_symmetry_Int_Tables_number 216
_symmetry_space_group_name_Hall 'F -4 2 3'
_cell_length_a 6.007
_cell_length_b 6.007
_cell_length_c 6.007
_cell_angle_alpha 90.00
_cell_angle_beta 90.00
_cell_angle_gamma 90.00
loop_
_atom_site_label
_atom_site_type_symbol
_atom_site_fract_x
_atom_site_fract_y
_atom_site_fract_z
_atom_site_occupancy
Mn1 Mn 0.000 0.000 0.000 1
Re1 Re 0.000 0.000 0.500 1
Si1 Si 0.250 0.250 0.750 1
W1 W 0.250 0.250 0.250 1
# **Total magnetization**: 0.00 μB/f.u.
# **VASP energy**: -161.42 eV/cell
# **Formation energy (no corrections)**: -90 meV per atom
# **Calculated density**: 13.9 g/cm³

# Li4Nd3Au4 | Alexandria | PBE | optimized geometry
data_Li4Nd3Au4
_chemical_formula_sum 'Li4 Nd3 Au4'
_symmetry_space_group_name_H-M 'P -1'
_symmetry_Int_Tables_number 2
_cell_length_a 3.865
_cell_length_b 4.334
_cell_length_c 14.676
_cell_angle_alpha 81.67
_cell_angle_beta 82.44
_cell_angle_gamma 89.97
loop_
_symmetry_equiv_pos_as_xyz
'x,y,z'
'-x,-y,-z'
loop_
_atom_site_label
_atom_site_type_symbol
_atom_site_fract_x
_atom_site_fract_y
_atom_site_fract_z
_atom_site_occupancy
Li1 Li 0.095 0.095 0.310 1
Li2 Li 0.248 0.748 0.003 1
Nd1 Nd 0.356 0.356 0.789 1
Nd2 Nd 0.500 0.000 0.500 1
Au1 Au 0.051 0.551 0.398 1
Au2 Au 0.186 0.185 0.128 1
# **Total magnetization**: 0.00 μB/f.u.
# **Energy above the most stable polymorph in this dataset**: 0.025 eV/atom
# **Formation energy**: -0.557 eV per atom
# **VASP energy**: -41.20 eV/cell
# **Calculated density**: 8.6 g/cm³

# MgMoC3 | Alexandria | PBE | optimized geometry
data_MgMoC3
_chemical_formula_sum 'Mg1 Mo1 C3'
_symmetry_space_group_name_H-M 'P m -3 m'
_symmetry_Int_Tables_number 221
_symmetry_space_group_name_Hall '-P 4 2 3'
_cell_length_a 4.085
_cell_length_b 4.085
_cell_length_c 4.085
_cell_angle_alpha 90.00
_cell_angle_beta 90.00
_cell_angle_gamma 90.00
loop_
_atom_site_label
_atom_site_type_symbol
_atom_site_fract_x
_atom_site_fract_y
_atom_site_fract_z
_atom_site_occupancy
Mg1 Mg 0.000 0.000 0.000 1
Mo1 Mo 0.500 0.500 0.500 1
C1 C 0.000 0.500 0.500 1
# **Total magnetization**: 0.00 μB/f.u.
# **Energy above the most stable polymorph in this dataset**: 0.000 eV/atom
# **Formation energy**: 1.551 eV per atom
# **VASP energy**: -32.34 eV/cell
# **Calculated density**: 3.8 g/cm³

# Na2HfPbS | Alexandria | PBE | optimized geometry
data_Na2HfPbS
_chemical_formula_sum 'Na2 Hf1 Pb1 S1'
_symmetry_space_group_name_H-M 'P 4/m m m'
_symmetry_Int_Tables_number 123
_symmetry_space_group_name_Hall '-P 4 2'
_cell_length_a 6.262
_cell_length_b 6.262
_cell_length_c 4.691
_cell_angle_alpha 90.00
_cell_angle_beta 90.00
_cell_angle_gamma 90.00
loop_
_atom_site_label
_atom_site_type_symbol
_atom_site_fract_x
_atom_site_fract_y
_atom_site_fract_z
_atom_site_occupancy
Na1 Na 0.000 0.500 0.000 1
Hf1 Hf 0.000 0.000 0.000 1
Pb1 Pb 0.500 0.500 0.500 1
S1 S 0.000 0.000 0.500 1
# **Total magnetization**: 0.00 μB/f.u.
# **VASP energy**: -18.62 eV/cell
# **Formation energy (no corrections)**: 361 meV per atom
# **Calculated density**: 4.2 g/cm³

# MgBeMoHW | Alexandria | PBE | optimized geometry
data_MgBeMoHW
_chemical_formula_sum 'Mg1 Be1 Mo1 H1 W1'
_symmetry_space_group_name_H-M 'P m m 2'
_symmetry_Int_Tables_number 25
_cell_length_a 3.107
_cell_length_b 3.188
_cell_length_c 6.628
_cell_angle_alpha 90.00
_cell_angle_beta 90.00
_cell_angle_gamma 90.00
loop_
_symmetry_equiv_pos_as_xyz
'x,y,z'
'-x,-y,z'
'-x,y,z'
'x,-y,z'
loop_
_atom_site_label
_atom_site_type_symbol
_atom_site_fract_x
_atom_site_fract_y
_atom_site_fract_z
_atom_site_occupancy
Mg1 Mg 0.000 0.000 0.000 1
Be1 Be 0.500 0.500 0.275 1
Mo1 Mo 0.500 0.500 0.667 1
H1 H 0.000 0.500 0.831 1
W1 W 0.000 0.000 0.447 1
# **Total magnetization**: 0.00 μB/f.u.
# **Energy above the most stable polymorph in this dataset**: 0.000 eV/atom
# **VASP energy**: -31.73 eV/cell
# **Calculated density**: 7.9 g/cm³